K3TcC4N4O2: relaxed, GGA-PBE.

```
K3TcC4N4O2
1.0
-6.366 0.083 1.089
0.843 -3.875 -5.840
3.632 -3.658 5.542
K Tc C N O
3 1 4 4 2
Direct
0.500 0.000 0.000
0.959 0.667 0.300
0.041 0.333 0.700
0.500 0.500 0.500
0.397 0.598 0.251
0.603 0.402 0.749
0.827 0.789 0.666
0.173 0.211 0.334
0.342 0.656 0.116
0.658 0.344 0.884
0.010 0.941 0.740
0.990 0.059 0.260
0.347 0.636 0.609
0.653 0.364 0.391
```

Summary:
Magnetization ... 0.0 Bohr magnetons per cell
SG ... P-1, No. 2
DFT total energy ... -0.264 hartree per atom
V ... 20.182 Å³/atom